Entry from Alexandria via LeMat-Bulk: Y2AlHg8 after structural relaxation (PBE-GGA).

Output
Total magnetic moment in μB per formula unit: 0.0
ΔH_f (0 K) in meV/atom: -247
Fermi-level density of states in states/eV/cell: 4.8
Energy in eV/atom: -1.98

Lattice parameters (Å, degrees): 4.606 4.606 12.515 90.00 90.00 90.00
Fractional coordinates of all 11 atoms:
Y1 0.000 0.000 0.191
Y2 0.000 0.000 0.809
Al1 0.000 0.000 0.500
Hg1 0.000 0.500 0.000
Hg2 0.000 0.500 0.371
Hg3 0.000 0.500 0.629
Hg4 0.500 0.000 0.000
Hg5 0.500 0.000 0.371
Hg6 0.500 0.000 0.629
Hg7 0.500 0.500 0.189
Hg8 0.500 0.500 0.811